A plane-wave DFT calculation with PBE was carried out for a relaxed structure of DyYH.

Computed properties:
The polymorph energy (0 for the lowest one) comes out at 0.045 eV/atom. The calculation puts the final energy at -5.05 eV/atom.

abc: 3.6278 3.6278 5.5886
angles: 90.00 90.00 120.00
Space group P3m1 (No. 156)
Unique sites:
Dy1 0.0000 0.0000 0.0000 [1 per cell]
Y1 0.6667 0.3333 0.5123 [1 per cell]
H1 0.3333 0.6667 0.7560 [1 per cell]

***

A plane-wave DFT calculation with PBE was carried out for a relaxed structure of AcScAlIn.

Computed properties:
The formation enthalpy at 0 K comes out at -0.26 eV per atom. The calculation puts the final energy at -4.49 eV/atom.

abc: 7.567 7.567 7.567
angles: 90.00 90.00 90.00
Space group F-43m (No. 216)
Unique sites:
Ac1 0.000 0.000 0.000 [4 per cell]
Sc1 0.000 0.000 0.500 [4 per cell]
Al1 0.250 0.250 0.750 [4 per cell]
In1 0.250 0.250 0.250 [4 per cell]

***

A plane-wave DFT calculation with PBE was carried out for a relaxed structure of Li2TaW.

Computed properties:
The formation enthalpy at 0 K comes out at 1.04 eV per atom. The polymorph energy (0 for the lowest one) comes out at 0.802 eV/atom. The calculation puts the final energy at -6.12 eV/atom.

abc: 7.047 7.047 5.020
angles: 90.00 90.00 90.00
Space group I-42d (No. 122)
Unique sites:
Li1 0.245 0.250 0.125 [8 per cell]
Ta1 0.000 0.000 0.500 [4 per cell]
W1 0.000 0.000 0.000 [4 per cell]

***

A plane-wave DFT calculation with PBE was carried out for a relaxed structure of NdTmGe2.

Computed properties:
The formation enthalpy at 0 K comes out at -0.82 eV per atom. The polymorph energy (0 for the lowest one) comes out at 0.002 eV/atom. The calculation puts the final energy at -5.44 eV/atom.

abc: 4.009 5.855 8.065
angles: 90.00 90.00 90.00
Space group Pmc2_1 (No. 26)
Unique sites:
Nd1 0.000 0.132 0.000 [2 per cell]
Tm1 0.500 0.369 0.638 [2 per cell]
Ge1 0.000 0.394 0.360 [2 per cell]
Ge2 0.500 0.110 0.279 [2 per cell]

***

A plane-wave DFT calculation with PBE was carried out for a relaxed structure of CaPAu.

Computed properties:
The formation enthalpy at 0 K comes out at -0.80 eV per atom. The calculation puts the final energy at -4.37 eV/atom.

abc: 10.926 4.289 7.441
angles: 90.00 132.90 90.00
Space group C2/m (No. 12)
Unique sites:
Ca1 0.239 0.000 0.240 [4 per cell]
P1 0.000 0.000 0.348 [4 per cell]
Au1 0.001 0.500 0.816 [4 per cell]

***

A plane-wave DFT calculation with PBE was carried out for a relaxed structure of ErFeB.

Computed properties:
The formation enthalpy at 0 K comes out at 0.31 eV per atom. The polymorph energy (0 for the lowest one) comes out at 0.692 eV/atom. The calculation puts the final energy at -6.26 eV/atom.

abc: 4.510 7.528 6.152
angles: 90.00 90.00 90.00
Space group Imma (No. 74)
Unique sites:
Er1 0.000 0.000 0.000 [4 per cell]
Fe1 0.250 0.250 0.250 [4 per cell]
B1 0.000 0.250 0.510 [4 per cell]

***

A plane-wave DFT calculation with PBE was carried out for a relaxed structure of TaTl2Sb.

Computed properties:
The raw formation energy is 0.62 eV per atom. The polymorph energy (0 for the lowest one) comes out at 0.366 eV/atom. The calculation puts the final energy at -4.55 eV/atom.

abc: 6.465 9.398 3.143
angles: 90.00 90.00 90.00
Space group Cmmm (No. 65)
Unique sites:
Ta1 0.000 0.000 0.000 [2 per cell]
Tl1 0.250 0.250 0.500 [4 per cell]
Sb1 0.000 0.500 0.000 [2 per cell]

***

A plane-wave DFT calculation with PBE was carried out for a relaxed structure of NbAlS4.

Computed properties:
The raw formation energy is -0.81 eV per atom. The calculation puts the final energy at -5.87 eV/atom.

abc: 5.745 5.745 9.990
angles: 90.00 90.00 90.00
Space group I-4 (No. 82)
Unique sites:
Nb1 0.000 0.000 0.000 [2 per cell]
Al1 0.000 0.500 0.750 [2 per cell]
S1 0.221 0.747 0.874 [8 per cell]

***

A plane-wave DFT calculation with PBE was carried out for a relaxed structure of ZnCu2Pd7.

Computed properties:
The formation enthalpy at 0 K comes out at 0.35 eV per atom. The calculation puts the final energy at -4.23 eV/atom.

abc: 7.214 12.319 4.231
angles: 90.00 90.00 90.00
Space group Cmmm (No. 65)
Unique sites:
Zn1 0.000 0.000 0.000 [2 per cell]
Cu1 0.000 0.300 0.500 [4 per cell]
Pd1 0.000 0.204 0.000 [4 per cell]
Pd2 0.000 0.500 0.500 [2 per cell]
Pd3 0.186 0.111 0.500 [8 per cell]

***

A plane-wave DFT calculation with PBE was carried out for a relaxed structure of Tl2HgTePd.

Computed properties:
The raw formation energy is -0.10 eV per atom. The polymorph energy (0 for the lowest one) comes out at 0.000 eV/atom. The calculation puts the final energy at -2.77 eV/atom.

abc: 5.530 5.530 5.268
angles: 90.00 90.00 90.00
Space group P4/mmm (No. 123)
Unique sites:
Tl1 0.000 0.500 0.000 [2 per cell]
Hg1 0.000 0.000 0.500 [1 per cell]
Te1 0.500 0.500 0.500 [1 per cell]
Pd1 0.500 0.500 0.000 [1 per cell]

***

A plane-wave DFT calculation with PBE was carried out for a relaxed structure of MoP2Os.

Computed properties:
The formation enthalpy at 0 K comes out at 0.32 eV per atom. The polymorph energy (0 for the lowest one) comes out at 0.566 eV/atom. The calculation puts the final energy at -7.90 eV/atom.

abc: 3.014 5.039 7.601
angles: 90.00 90.00 90.00
Space group Cmmm (No. 65)
Unique sites:
Mo1 0.000 0.000 0.000 [2 per cell]
P1 0.000 0.500 0.252 [4 per cell]
Os1 0.000 0.000 0.500 [2 per cell]

***

A plane-wave DFT calculation with PBE was carried out for a relaxed structure of Rb3Tb3SmTe8.

Computed properties:
The raw formation energy is -1.32 eV per atom. The calculation puts the final energy at -4.43 eV/atom.

abc: 8.8919 8.8919 26.4426
angles: 90.00 90.00 120.00
Space group R-3m (No. 166, hexagonal axes)
Unique sites:
Rb1 0.0000 0.5000 0.0000 [9 per cell]
Tb1 0.0000 0.5000 0.5000 [9 per cell]
Sm1 0.0000 0.0000 0.5000 [3 per cell]
Te1 0.0000 0.0000 0.2335 [6 per cell]
Te2 0.0062 0.5031 0.7661 [18 per cell]

***

A plane-wave DFT calculation with PBE was carried out for a relaxed structure of NaLaPb.

Computed properties:
The formation enthalpy at 0 K comes out at -0.45 eV per atom. The calculation puts the final energy at -3.77 eV/atom.

abc: 5.6703 5.6703 6.8010
angles: 90.00 90.00 120.00
Space group P6_3/mmc (No. 194)
Unique sites:
Na1 0.0000 0.0000 0.0000 [2 per cell]
La1 0.3333 0.6667 0.2500 [2 per cell]
Pb1 0.3333 0.6667 0.7500 [2 per cell]

***

A plane-wave DFT calculation with PBE was carried out for a relaxed structure of YTm3Au2.

Computed properties:
The formation enthalpy at 0 K comes out at -0.67 eV per atom. The polymorph energy (0 for the lowest one) comes out at 0.000 eV/atom. The calculation puts the final energy at -5.07 eV/atom.

abc: 4.902 8.839 7.089
angles: 90.00 90.00 90.00
Space group Pmc2_1 (No. 26)
Unique sites:
Y1 0.000 0.073 0.000 [2 per cell]
Tm1 0.000 0.330 0.634 [2 per cell]
Tm2 0.500 0.173 0.337 [2 per cell]
Tm3 0.500 0.427 0.970 [2 per cell]
Au1 0.000 0.351 0.230 [2 per cell]
Au2 0.500 0.152 0.740 [2 per cell]

***

A plane-wave DFT calculation with PBE was carried out for a relaxed structure of Nb2ReH.

Computed properties:
The polymorph energy (0 for the lowest one) comes out at 0.196 eV/atom. The calculation puts the final energy at -8.75 eV/atom.

abc: 6.011 6.011 6.358
angles: 90.00 90.00 90.00
Space group I-42d (No. 122)
Unique sites:
Nb1 0.171 0.250 0.125 [8 per cell]
Re1 0.000 0.000 0.500 [4 per cell]
H1 0.000 0.000 0.000 [4 per cell]

***

A plane-wave DFT calculation with PBE was carried out for a relaxed structure of Fe3Ni6Pt.

Computed properties:
The formation enthalpy at 0 K comes out at -0.07 eV per atom. The polymorph energy (0 for the lowest one) comes out at 0.000 eV/atom. The calculation puts the final energy at -6.68 eV/atom.

abc: 6.767 4.143 8.851
angles: 90.00 108.96 90.00
Space group P2_1/m (No. 11)
Unique sites:
Fe1 0.097 0.250 0.227 [2 per cell]
Fe2 0.299 0.250 0.032 [2 per cell]
Fe3 0.305 0.750 0.364 [2 per cell]
Ni1 0.103 0.750 0.066 [2 per cell]
Ni2 0.106 0.250 0.745 [2 per cell]
Ni3 0.307 0.750 0.873 [2 per cell]
Ni4 0.314 0.250 0.536 [2 per cell]
Ni5 0.490 0.250 0.326 [2 per cell]
Ni6 0.498 0.750 0.166 [2 per cell]
Pt1 0.112 0.750 0.574 [2 per cell]

***

A plane-wave DFT calculation with PBE was carried out for a relaxed structure of TaSi4Rh.

Computed properties:
The raw formation energy is 0.15 eV per atom. The calculation puts the final energy at -6.67 eV/atom.

abc: 6.923 6.923 6.923
angles: 90.00 90.00 90.00
Space group F-43m (No. 216)
Unique sites:
Ta1 0.000 0.000 0.000 [4 per cell]
Si1 0.124 0.124 0.376 [16 per cell]
Rh1 0.250 0.250 0.750 [4 per cell]

***

A plane-wave DFT calculation with PBE was carried out for a relaxed structure of CeGdNiRh.

Computed properties:
The formation enthalpy at 0 K comes out at -0.49 eV per atom. The calculation puts the final energy at -8.78 eV/atom.

abc: 6.912 6.912 6.912
angles: 90.00 90.00 90.00
Space group F-43m (No. 216)
Unique sites:
Ce1 0.000 0.000 0.000 [4 per cell]
Gd1 0.000 0.000 0.500 [4 per cell]
Ni1 0.250 0.250 0.250 [4 per cell]
Rh1 0.250 0.250 0.750 [4 per cell]

***

A plane-wave DFT calculation with PBE was carried out for a relaxed structure of ZrNbCoRh.

Computed properties:
The formation enthalpy at 0 K comes out at -0.27 eV per atom. The calculation puts the final energy at -8.54 eV/atom.

abc: 6.405 6.405 6.405
angles: 90.00 90.00 90.00
Space group F-43m (No. 216)
Unique sites:
Zr1 0.000 0.000 0.000 [4 per cell]
Nb1 0.000 0.000 0.500 [4 per cell]
Co1 0.250 0.250 0.750 [4 per cell]
Rh1 0.250 0.250 0.250 [4 per cell]

***

A plane-wave DFT calculation with PBE was carried out for a relaxed structure of P3H2.

Computed properties:
The calculation puts the final energy at -4.52 eV/atom.

abc: 4.572 5.581 7.191
angles: 69.41 86.35 75.27
Space group P1 (No. 1)
Unique sites:
P1 0.000 0.000 0.000 [1 per cell]
P2 0.022 0.739 0.556 [1 per cell]
P3 0.275 0.849 0.275 [1 per cell]
P4 0.335 0.223 0.300 [1 per cell]
P5 0.650 0.302 0.050 [1 per cell]
P6 0.680 0.110 0.542 [1 per cell]
H1 0.450 0.418 0.880 [1 per cell]
H2 0.491 0.989 0.694 [1 per cell]
H3 0.730 0.528 0.063 [1 per cell]
H4 0.846 0.606 0.487 [1 per cell]